No. 1
VASP calculation (GGA-PBE) on a relaxed structure of Ta3GeBi.

abc: 5.1478 5.1478 5.1478
angles: 90.00 90.00 90.00
Positions (direct):
Ta  0.0000  0.0000  0.5000
Ta  0.0000  0.5000  0.0000
Ta  0.5000  0.0000  0.0000
Ge  0.5000  0.5000  0.5000
Bi  0.0000  0.0000  0.0000

Properties
The calculation puts the total energy at -32.008 eV/cell. As for the total magnetization: 0.000 μB/atom. The value obtained for the formation energy is 2.410 eV per atom. As for the theoretical density: 10.04 g/cm³. As for the energy relative to the lowest polymorph listed for this composition: 1.3194 eV per atom.

No. 2
VASP calculation (GGA-PBE) on a relaxed structure of TaGeBi3.

abc: 5.4980 5.4980 5.4980
angles: 90.00 90.00 90.00
Positions (direct):
Ta  0.0000  0.0000  0.0000
Ge  0.5000  0.5000  0.5000
Bi  0.0000  0.0000  0.5000
Bi  0.0000  0.5000  0.0000
Bi  0.5000  0.0000  0.0000

Properties
The calculation puts the total energy at -24.227 eV/cell. As for the total magnetization: 0.000 μB/atom. The value obtained for the formation energy is 0.777 eV per atom. As for the theoretical density: 8.80 g/cm³.

No. 3
VASP calculation (GGA-PBE) on a relaxed structure of Ta2GeBi.

abc: 4.1502 4.1502 10.3997
angles: 78.49 78.49 90.00
Positions (direct):
Bi  0.7500  0.2500  0.5000
Bi  0.0000  0.0000  0.0000
Ta  0.6044  0.1250  0.2500
Ta  0.8750  0.8544  0.7500
Ta  0.1456  0.6250  0.2500
Ta  0.3750  0.3956  0.7500
Ge  0.2500  0.7500  0.5000
Ge  0.5000  0.5000  0.0000

Properties
The calculation puts the total energy at -59.594 eV/cell. As for the total magnetization: 0.000 μB/atom. The value obtained for the formation energy is 0.602 eV per atom. As for the theoretical density: 12.44 g/cm³. As for the energy relative to the lowest polymorph listed for this composition: 0.1992 eV per atom.

What did the first record say?
VASP calculation (GGA-PBE) on a relaxed structure of Ta3GeBi.

abc: 5.1478 5.1478 5.1478
angles: 90.00 90.00 90.00
Positions (direct):
Ta  0.0000  0.0000  0.5000
Ta  0.0000  0.5000  0.0000
Ta  0.5000  0.0000  0.0000
Ge  0.5000  0.5000  0.5000
Bi  0.0000  0.0000  0.0000

Properties
The calculation puts the total energy at -32.008 eV/cell. As for the total magnetization: 0.000 μB/atom. The value obtained for the formation energy is 2.410 eV per atom. As for the theoretical density: 10.04 g/cm³. As for the energy relative to the lowest polymorph listed for this composition: 1.3194 eV per atom.

What did the third record say?
VASP calculation (GGA-PBE) on a relaxed structure of Ta2GeBi.

abc: 4.1502 4.1502 10.3997
angles: 78.49 78.49 90.00
Positions (direct):
Bi  0.7500  0.2500  0.5000
Bi  0.0000  0.0000  0.0000
Ta  0.6044  0.1250  0.2500
Ta  0.8750  0.8544  0.7500
Ta  0.1456  0.6250  0.2500
Ta  0.3750  0.3956  0.7500
Ge  0.2500  0.7500  0.5000
Ge  0.5000  0.5000  0.0000

Properties
The calculation puts the total energy at -59.594 eV/cell. As for the total magnetization: 0.000 μB/atom. The value obtained for the formation energy is 0.602 eV per atom. As for the theoretical density: 12.44 g/cm³. As for the energy relative to the lowest polymorph listed for this composition: 0.1992 eV per atom.

Question: Among the records above, which one has the highest formation energy?
Answer: Ta3GeBi